Computed, not measured: a relaxed La2TlSi2 crystal at the GGA-PBE level of DFT.

Output
Formation energy from raw total energies = -325 kJ/mol of formula units
Spin magnetization = 0.00 μB/cell

Cell: 7.923 7.923 4.305 Å, 90.00 90.00 151.16°
Positions (direct):
La 0.136 0.864 0.000
La 0.864 0.136 0.000
Tl 0.500 0.500 0.500
Si 0.294 0.706 0.500
Si 0.706 0.294 0.500

***

Computed, not measured: a relaxed Ga2AuBr crystal at the GGA-PBE level of DFT.

Output
Formation energy from raw total energies = -74 kJ/mol of formula units
Offset from the most stable computed form = 0.130 eV per atom
Spin magnetization = 0.00 μB/cell

Cell: 7.657 7.657 7.657 Å, 130.85 130.85 72.05°
Positions (direct):
Ga 0.070 0.625 0.945
Ga 0.375 0.320 0.445
Ga 0.680 0.125 0.055
Ga 0.875 0.930 0.555
Au 0.000 0.000 0.000
Au 0.750 0.250 0.500
Br 0.250 0.750 0.500
Br 0.500 0.500 0.000

***

Computed, not measured: a relaxed CaTlFe crystal at the GGA-PBE level of DFT.

Output
E_form = 0.44 eV per atom
Spin magnetization = 2.60 μB/cell

Cell: 4.782 4.782 4.782 Å, 60.00 60.00 60.00°
Positions (direct):
Ca 0.000 0.000 0.000
Tl 0.500 0.500 0.500
Fe 0.750 0.750 0.750

***

Computed, not measured: a relaxed Pa3CuPd6 crystal at the GGA-PBE level of DFT.

Output
E_form = -0.30 eV per atom
Spin magnetization = 0.00 μB/cell

Cell: 6.727 6.727 6.727 Å, 112.64 112.64 112.64°
Positions (direct):
Pa 0.103 0.448 0.448
Pa 0.448 0.103 0.448
Pa 0.448 0.448 0.103
Cu 0.072 0.072 0.072
Pd 0.016 0.016 0.503
Pd 0.016 0.503 0.016
Pd 0.503 0.016 0.016
Pd 0.640 0.640 0.893
Pd 0.640 0.893 0.640
Pd 0.893 0.640 0.640

***

Computed, not measured: a relaxed RbCd2SiTe4 crystal at the GGA-PBE level of DFT.

Output
Formation energy from raw total energies = -266 kJ/mol of formula units
Spin magnetization = 0.00 μB/cell

Cell: 7.385 7.239 7.824 Å, 58.56 56.76 64.68°
Positions (direct):
Rb 0.000 0.000 0.000
Cd 0.239 0.239 0.261
Cd 0.739 0.739 0.761
Si 0.507 0.507 0.493
Te 0.170 0.547 0.453
Te 0.463 0.852 0.537
Te 0.547 0.170 0.830
Te 0.852 0.463 0.148

***

Computed, not measured: a relaxed Nb6AlSn crystal at the GGA-PBE level of DFT.

Output
Offset from the most stable computed form = 0.008 eV per atom
E_form = -0.18 eV per atom
Spin magnetization = 0.00 μB/cell

Cell: 4.779 5.800 5.800 Å, 65.89 90.00 90.00°
Positions (direct):
Nb 0.000 0.000 0.000
Nb 0.000 0.023 0.501
Nb 0.000 0.501 0.023
Nb 0.500 0.219 0.730
Nb 0.500 0.730 0.219
Nb 0.500 0.735 0.735
Al 0.500 0.216 0.216
Sn 0.000 0.522 0.522

***

Computed, not measured: a relaxed EuLu2Au crystal at the GGA-PBE level of DFT.

Output
Offset from the most stable computed form = 0.096 eV per atom
E_form = -0.27 eV per atom
Spin magnetization = 7.74 μB/cell

Cell: 10.205 10.205 10.205 Å, 21.22 21.22 21.22°
Positions (direct):
Eu 0.000 0.000 0.000
Lu 0.230 0.230 0.230
Lu 0.770 0.770 0.770
Au 0.500 0.500 0.500

***

Computed, not measured: a relaxed CaIn3 crystal at the GGA-PBE level of DFT.

Output
E_form = -0.24 eV per atom
Spin magnetization = 0.00 μB/cell

Cell: 3.352 5.365 6.102 Å, 90.00 90.48 90.00°
Positions (direct):
Ca 0.000 0.000 0.000
In 0.492 0.500 0.755
In 0.500 0.000 0.500
In 0.508 0.500 0.245

***

Computed, not measured: a relaxed Ce4Pm2C crystal at the GGA-PBE level of DFT.

Output
E_form = 0.17 eV per atom
Spin magnetization = 1.43 μB/cell

Cell: 9.051 9.051 9.051 Å, 148.26 148.26 45.50°
Positions (direct):
Ce 0.000 0.500 0.500
Ce 0.142 0.142 0.000
Ce 0.500 0.000 0.500
Ce 0.858 0.858 0.000
Pm 0.340 0.340 0.000
Pm 0.660 0.660 0.000
C 0.000 0.000 0.000

***

Computed, not measured: a relaxed TaNb2Rh crystal at the GGA-PBE level of DFT.

Output
Offset from the most stable computed form = 0.020 eV per atom
E_form = -0.23 eV per atom
Spin magnetization = 0.00 μB/cell

Cell: 2.846 5.326 5.364 Å, 116.43 99.92 100.80°
Positions (direct):
Ta 0.000 0.000 0.000
Nb 0.000 0.500 0.500
Nb 0.500 0.000 0.500
Rh 0.500 0.500 0.000

***

Computed, not measured: a relaxed ThAl crystal at the GGA-PBE level of DFT.

Output
E_form = -0.32 eV per atom
Spin magnetization = 0.00 μB/cell

Cell: 6.146 6.146 4.189 Å, 90.00 90.00 137.55°
Positions (direct):
Th 0.145 0.855 0.750
Th 0.855 0.145 0.250
Al 0.429 0.571 0.750
Al 0.571 0.429 0.250

***

Question: What is the spin magnetization in the seventh record?
Answer: 7.74 μB/cell